P:
# SrCu2Ag2 PBE optimized geometry
# DOS(E_F): 1.87 states/eV per cell
# Total moment: 0.00 μB per cell
# V: 103.7 Å³/cell
data_SrCu2Ag2
_cell_length_a 4.335
_cell_length_b 4.335
_cell_length_c 6.311
_cell_angle_alpha 69.91
_cell_angle_beta 69.91
_cell_angle_gamma 90.00
_space_group_name_H-M_alt 'P 1'
_space_group_IT_number 1
loop_
_space_group_symop_operation_xyz
'x,y,z'
loop_
_atom_site_label
_atom_site_fract_x
_atom_site_fract_y
_atom_site_fract_z
Ag1 0.250 0.750 0.500
Cu1 0.608 0.608 0.783
Cu2 0.392 0.392 0.217
Ag2 0.750 0.250 0.500
Sr1 0.000 0.000 0.000

Q:
# SrCu2Ag2 PBE optimized geometry
# DOS(E_F): 1.37 states/eV per cell
# Total moment: 0.00 μB per cell
# V: 107.7 Å³/cell
data_SrCu2Ag2
_cell_length_a 4.550
_cell_length_b 4.550
_cell_length_c 6.118
_cell_angle_alpha 68.17
_cell_angle_beta 68.17
_cell_angle_gamma 90.00
_space_group_name_H-M_alt 'P 1'
_space_group_IT_number 1
loop_
_space_group_symop_operation_xyz
'x,y,z'
loop_
_atom_site_label
_atom_site_fract_x
_atom_site_fract_y
_atom_site_fract_z
Sr1 0.000 0.000 0.000
Ag1 0.631 0.631 0.737
Cu1 0.750 0.250 0.500
Cu2 0.250 0.750 0.500
Ag2 0.369 0.369 0.263

It is Q that is the least stable of them.

P:
# SrCu3Ag PBE optimized geometry
# DOS(E_F): 4.12 states/eV per cell
# Total moment: 0.00 μB per cell
# V: 155.9 Å³/cell
data_SrCu3Ag
_cell_length_a 5.383
_cell_length_b 5.383
_cell_length_c 5.383
_cell_angle_alpha 90.00
_cell_angle_beta 90.00
_cell_angle_gamma 90.00
_space_group_name_H-M_alt 'P 1'
_space_group_IT_number 1
loop_
_space_group_symop_operation_xyz
'x,y,z'
loop_
_atom_site_label
_atom_site_fract_x
_atom_site_fract_y
_atom_site_fract_z
Sr1 0.000 0.000 0.000
Ag1 0.500 0.500 0.500
Cu1 0.000 0.000 0.500
Cu2 0.500 0.000 0.000
Cu3 0.000 0.500 0.000

Q:
# SrCu3Ag PBE optimized geometry
# DOS(E_F): 1.78 states/eV per cell
# Total moment: 0.00 μB per cell
# V: 114.8 Å³/cell
data_SrCu3Ag
_cell_length_a 4.861
_cell_length_b 4.861
_cell_length_c 4.861
_cell_angle_alpha 90.00
_cell_angle_beta 90.00
_cell_angle_gamma 90.00
_space_group_name_H-M_alt 'P 1'
_space_group_IT_number 1
loop_
_space_group_symop_operation_xyz
'x,y,z'
loop_
_atom_site_label
_atom_site_fract_x
_atom_site_fract_y
_atom_site_fract_z
Cu1 0.500 0.000 0.000
Ag1 0.000 0.000 0.000
Cu2 0.000 0.000 0.500
Sr1 0.500 0.500 0.500
Cu3 0.000 0.500 0.000

It is P that is the least stable of them.

P:
# TaCuAg PBE optimized geometry
# DOS(E_F): 2.84 states/eV per cell
# Total moment: 0.00 μB per cell
# V: 58.2 Å³/cell
data_TaCuAg
_cell_length_a 4.351
_cell_length_b 4.351
_cell_length_c 4.351
_cell_angle_alpha 60.00
_cell_angle_beta 60.00
_cell_angle_gamma 60.00
_space_group_name_H-M_alt 'P 1'
_space_group_IT_number 1
loop_
_space_group_symop_operation_xyz
'x,y,z'
loop_
_atom_site_label
_atom_site_fract_x
_atom_site_fract_y
_atom_site_fract_z
Cu1 0.500 0.500 0.500
Ag1 0.000 0.000 0.000
Ta1 0.750 0.750 0.750

Q:
# TaCuAg PBE optimized geometry
# DOS(E_F): 2.53 states/eV per cell
# Total moment: 0.00 μB per cell
# V: 97.0 Å³/cell
data_TaCuAg
_cell_length_a 2.807
_cell_length_b 2.807
_cell_length_c 12.310
_cell_angle_alpha 90.00
_cell_angle_beta 90.00
_cell_angle_gamma 90.00
_space_group_name_H-M_alt 'P 1'
_space_group_IT_number 1
loop_
_space_group_symop_operation_xyz
'x,y,z'
loop_
_atom_site_label
_atom_site_fract_x
_atom_site_fract_y
_atom_site_fract_z
Ag1 0.000 0.500 0.909
Cu1 0.500 0.000 0.752
Ta1 0.000 0.500 0.593
Ag2 0.500 0.000 0.091
Ta2 0.500 0.000 0.407
Cu2 0.000 0.500 0.248

R:
# TaCuAg PBE optimized geometry
# DOS(E_F): 4.08 states/eV per cell
# Total moment: 0.00 μB per cell
# V: 53.0 Å³/cell
data_TaCuAg
_cell_length_a 4.217
_cell_length_b 4.217
_cell_length_c 4.217
_cell_angle_alpha 60.00
_cell_angle_beta 60.00
_cell_angle_gamma 60.00
_space_group_name_H-M_alt 'P 1'
_space_group_IT_number 1
loop_
_space_group_symop_operation_xyz
'x,y,z'
loop_
_atom_site_label
_atom_site_fract_x
_atom_site_fract_y
_atom_site_fract_z
Cu1 0.750 0.750 0.750
Ag1 0.500 0.500 0.500
Ta1 0.000 0.000 0.000

It is P that is the least stable of them.

P:
# TaCuAg PBE optimized geometry
# DOS(E_F): 0.91 states/eV per cell
# Total moment: 0.00 μB per cell
# V: 47.8 Å³/cell
data_TaCuAg
_cell_length_a 4.851
_cell_length_b 4.851
_cell_length_c 4.851
_cell_angle_alpha 147.13
_cell_angle_beta 128.80
_cell_angle_gamma 62.19
_space_group_name_H-M_alt 'P 1'
_space_group_IT_number 1
loop_
_space_group_symop_operation_xyz
'x,y,z'
loop_
_atom_site_label
_atom_site_fract_x
_atom_site_fract_y
_atom_site_fract_z
Ta1 0.330 0.330 0.000
Cu1 0.668 0.668 0.000
Ag1 0.002 0.002 0.000

Q:
# TaCuAg PBE optimized geometry
# DOS(E_F): 1.56 states/eV per cell
# Total moment: 0.00 μB per cell
# V: 47.5 Å³/cell
data_TaCuAg
_cell_length_a 4.503
_cell_length_b 4.503
_cell_length_c 2.703
_cell_angle_alpha 90.00
_cell_angle_beta 90.00
_cell_angle_gamma 120.00
_space_group_name_H-M_alt 'P 1'
_space_group_IT_number 1
loop_
_space_group_symop_operation_xyz
'x,y,z'
loop_
_atom_site_label
_atom_site_fract_x
_atom_site_fract_y
_atom_site_fract_z
Ta1 0.333 0.667 0.667
Cu1 0.667 0.333 0.168
Ag1 0.000 0.000 0.166

R:
# TaCuAg PBE optimized geometry
# DOS(E_F): 2.57 states/eV per cell
# Total moment: 0.00 μB per cell
# V: 48.0 Å³/cell
data_TaCuAg
_cell_length_a 6.304
_cell_length_b 6.304
_cell_length_c 6.304
_cell_angle_alpha 154.03
_cell_angle_beta 154.03
_cell_angle_gamma 37.06
_space_group_name_H-M_alt 'P 1'
_space_group_IT_number 1
loop_
_space_group_symop_operation_xyz
'x,y,z'
loop_
_atom_site_label
_atom_site_fract_x
_atom_site_fract_y
_atom_site_fract_z
Cu1 0.668 0.668 0.000
Ta1 0.322 0.322 0.000
Ag1 0.009 0.009 0.000

It is P that is the least stable of them.

P:
# TaCu2Ag PBE optimized geometry
# DOS(E_F): 2.16 states/eV per cell
# Total moment: 0.00 μB per cell
# V: 60.8 Å³/cell
data_TaCu2Ag
_cell_length_a 2.732
_cell_length_b 4.719
_cell_length_c 4.719
_cell_angle_alpha 90.00
_cell_angle_beta 90.00
_cell_angle_gamma 90.00
_space_group_name_H-M_alt 'P 1'
_space_group_IT_number 1
loop_
_space_group_symop_operation_xyz
'x,y,z'
loop_
_atom_site_label
_atom_site_fract_x
_atom_site_fract_y
_atom_site_fract_z
Ag1 0.500 0.000 0.500
Cu1 0.000 0.500 0.500
Cu2 0.000 0.000 0.000
Ta1 0.500 0.500 0.000

Q:
# TaCu2Ag PBE optimized geometry
# DOS(E_F): 1.56 states/eV per cell
# Total moment: 0.00 μB per cell
# V: 58.9 Å³/cell
data_TaCu2Ag
_cell_length_a 4.367
_cell_length_b 4.367
_cell_length_c 4.367
_cell_angle_alpha 60.00
_cell_angle_beta 60.00
_cell_angle_gamma 60.00
_space_group_name_H-M_alt 'P 1'
_space_group_IT_number 1
loop_
_space_group_symop_operation_xyz
'x,y,z'
loop_
_atom_site_label
_atom_site_fract_x
_atom_site_fract_y
_atom_site_fract_z
Cu1 0.250 0.250 0.250
Ta1 0.500 0.500 0.500
Ag1 0.000 0.000 0.000
Cu2 0.750 0.750 0.750

It is P that is the least stable of them.

P:
# Tb3CuAg2 PBE optimized geometry
# DOS(E_F): 5.20 states/eV per cell
# Total moment: 0.00 μB per cell
# V: 281.3 Å³/cell
data_Tb3CuAg2
_cell_length_a 5.097
_cell_length_b 5.097
_cell_length_c 12.501
_cell_angle_alpha 90.00
_cell_angle_beta 90.00
_cell_angle_gamma 120.00
_space_group_name_H-M_alt 'P 1'
_space_group_IT_number 1
loop_
_space_group_symop_operation_xyz
'x,y,z'
loop_
_atom_site_label
_atom_site_fract_x
_atom_site_fract_y
_atom_site_fract_z
Tb1 0.667 0.333 0.583
Tb2 0.000 0.000 0.256
Cu1 0.333 0.667 0.665
Ag1 0.667 0.333 0.834
Ag2 0.000 0.000 0.500
Tb3 0.000 0.000 0.744
Cu2 0.667 0.333 0.335
Ag3 0.000 0.000 0.000
Tb4 0.667 0.333 0.089
Ag4 0.333 0.667 0.166
Tb5 0.333 0.667 0.417
Tb6 0.333 0.667 0.911

Q:
# Tb3CuAg2 PBE optimized geometry
# DOS(E_F): 3.01 states/eV per cell
# Total moment: 0.00 μB per cell
# V: 139.9 Å³/cell
data_Tb3CuAg2
_cell_length_a 3.584
_cell_length_b 3.584
_cell_length_c 10.892
_cell_angle_alpha 90.00
_cell_angle_beta 90.00
_cell_angle_gamma 90.00
_space_group_name_H-M_alt 'P 1'
_space_group_IT_number 1
loop_
_space_group_symop_operation_xyz
'x,y,z'
loop_
_atom_site_label
_atom_site_fract_x
_atom_site_fract_y
_atom_site_fract_z
Tb1 0.000 0.000 0.344
Ag1 0.500 0.500 0.829
Ag2 0.500 0.500 0.171
Tb2 0.000 0.000 0.000
Tb3 0.000 0.000 0.656
Cu1 0.500 0.500 0.500

It is P that is the least stable of them.

P:
# Tb2Cu2Ag PBE optimized geometry
# DOS(E_F): 6.75 states/eV per cell
# Total moment: 0.00 μB per cell
# V: 208.2 Å³/cell
data_Tb2Cu2Ag
_cell_length_a 3.739
_cell_length_b 7.461
_cell_length_c 7.461
_cell_angle_alpha 90.00
_cell_angle_beta 90.00
_cell_angle_gamma 90.00
_space_group_name_H-M_alt 'P 1'
_space_group_IT_number 1
loop_
_space_group_symop_operation_xyz
'x,y,z'
loop_
_atom_site_label
_atom_site_fract_x
_atom_site_fract_y
_atom_site_fract_z
Cu1 0.000 0.881 0.619
Ag1 0.000 0.500 0.500
Ag2 0.000 0.000 0.000
Cu2 0.000 0.119 0.381
Tb1 0.500 0.177 0.677
Cu3 0.000 0.619 0.119
Cu4 0.000 0.381 0.881
Tb2 0.500 0.823 0.323
Tb3 0.500 0.677 0.823
Tb4 0.500 0.323 0.177

Q:
# Tb2Cu2Ag PBE optimized geometry
# DOS(E_F): 3.11 states/eV per cell
# Total moment: 0.00 μB per cell
# V: 104.4 Å³/cell
data_Tb2Cu2Ag
_cell_length_a 3.669
_cell_length_b 3.996
_cell_length_c 7.393
_cell_angle_alpha 105.68
_cell_angle_beta 90.00
_cell_angle_gamma 90.00
_space_group_name_H-M_alt 'P 1'
_space_group_IT_number 1
loop_
_space_group_symop_operation_xyz
'x,y,z'
loop_
_atom_site_label
_atom_site_fract_x
_atom_site_fract_y
_atom_site_fract_z
Cu1 0.000 0.200 0.401
Tb1 0.500 0.373 0.746
Cu2 0.000 0.800 0.599
Ag1 0.000 0.000 0.000
Tb2 0.500 0.627 0.254

It is P that is the least stable of them.

P:
# Tb4Cu2Ag PBE optimized geometry
# DOS(E_F): 8.52 states/eV per cell
# Total moment: 0.00 μB per cell
# V: 180.2 Å³/cell
data_Tb4Cu2Ag
_cell_length_a 4.792
_cell_length_b 4.792
_cell_length_c 9.474
_cell_angle_alpha 75.35
_cell_angle_beta 75.35
_cell_angle_gamma 60.00
_space_group_name_H-M_alt 'P 1'
_space_group_IT_number 1
loop_
_space_group_symop_operation_xyz
'x,y,z'
loop_
_atom_site_label
_atom_site_fract_x
_atom_site_fract_y
_atom_site_fract_z
Ag1 0.000 0.000 0.000
Cu1 0.903 0.903 0.292
Cu2 0.097 0.097 0.708
Tb1 0.383 0.383 0.852
Tb2 0.203 0.203 0.391
Tb3 0.797 0.797 0.609
Tb4 0.617 0.617 0.148

Q:
# Tb4Cu2Ag PBE optimized geometry
# DOS(E_F): 5.99 states/eV per cell
# Total moment: 0.00 μB per cell
# V: 172.6 Å³/cell
data_Tb4Cu2Ag
_cell_length_a 4.983
_cell_length_b 4.983
_cell_length_c 8.525
_cell_angle_alpha 73.01
_cell_angle_beta 73.01
_cell_angle_gamma 60.00
_space_group_name_H-M_alt 'P 1'
_space_group_IT_number 1
loop_
_space_group_symop_operation_xyz
'x,y,z'
loop_
_atom_site_label
_atom_site_fract_x
_atom_site_fract_y
_atom_site_fract_z
Tb1 0.871 0.871 0.387
Ag1 0.000 0.000 0.000
Cu1 0.251 0.251 0.248
Cu2 0.749 0.749 0.752
Tb2 0.129 0.129 0.613
Tb3 0.620 0.620 0.140
Tb4 0.380 0.380 0.860

It is P that is the least stable of them.